1.
# FeCu2Cl

Crystalline FeCu2Cl at its relaxed geometry (GGA-PBE, Alexandria).

Values from the calculation:
Total magnetic moment, μB/cell: 11.69
Raw formation energy, eV per atom: 0.71
Excess energy over the best structure of this formula in the dataset, kcal/mol of atoms: 13.73

Unit cell a=6.1719 b=6.1719 c=6.1719 alpha=90.00 beta=90.00 gamma=90.00
Space group Fm-3m (No. 225)
One atom of each set of equivalent atoms:
Fe: 0.0000 0.0000 0.0000 [4 per cell]
Cu: 0.2500 0.2500 0.2500 [8 per cell]
Cl: 0.0000 0.0000 0.5000 [4 per cell]

2.
# FeCuCl2

Crystalline FeCuCl2 at its relaxed geometry (GGA-PBE, Alexandria).

Values from the calculation:
Total magnetic moment, μB/cell: 6.71
Raw formation energy, eV per atom: 0.04
Excess energy over the best structure of this formula in the dataset, kcal/mol of atoms: 5.90

Unit cell a=3.3476 b=4.4106 c=13.2345 alpha=90.00 beta=90.00 gamma=90.00
Space group Imm2 (No. 44)
One atom of each set of equivalent atoms:
Fe: 0.0000 0.0000 0.0000 [2 per cell]
Cu: 0.0000 0.5000 0.6455 [2 per cell]
Cl: 0.0000 0.0000 0.6166 [2 per cell]
Cl: 0.0000 0.5000 0.3804 [2 per cell]

3.
# FeCuCl2

Crystalline FeCuCl2 at its relaxed geometry (GGA-PBE, Alexandria).

Values from the calculation:
Total magnetic moment, μB/cell: 0.32
Raw formation energy, eV per atom: 0.19
Excess energy over the best structure of this formula in the dataset, kcal/mol of atoms: 9.43

Unit cell a=3.2290 b=3.2290 c=28.4728 alpha=90.00 beta=90.00 gamma=120.00
Space group R-3m (No. 166, hexagonal axes)
One atom of each set of equivalent atoms:
Fe: 0.0000 0.0000 0.0000 [3 per cell]
Cu: 0.0000 0.0000 0.5000 [3 per cell]
Cl: 0.0000 0.0000 0.2882 [6 per cell]

4.
# FeCuCl2

Crystalline FeCuCl2 at its relaxed geometry (GGA-PBE, Alexandria).

Values from the calculation:
Total magnetic moment, μB/cell: 9.00
Raw formation energy, eV per atom: -0.01
Excess energy over the best structure of this formula in the dataset, kcal/mol of atoms: 4.91

Unit cell a=3.4516 b=3.4516 c=22.0906 alpha=90.00 beta=90.00 gamma=120.00
Space group R-3m (No. 166, hexagonal axes)
One atom of each set of equivalent atoms:
Fe: 0.0000 0.0000 0.0000 [3 per cell]
Cu: 0.0000 0.0000 0.5000 [3 per cell]
Cl: 0.0000 0.0000 0.0999 [6 per cell]

5.
# FeCu2Cl

Crystalline FeCu2Cl at its relaxed geometry (GGA-PBE, Alexandria).

Values from the calculation:
Total magnetic moment, μB/cell: 9.33
Raw formation energy, eV per atom: 0.21
Excess energy over the best structure of this formula in the dataset, kcal/mol of atoms: 2.05

Unit cell a=2.9289 b=2.9289 c=23.8766 alpha=90.00 beta=90.00 gamma=120.00
Space group R3m (No. 160, hexagonal axes)
One atom of each set of equivalent atoms:
Fe: 0.0000 0.0000 0.0000 [3 per cell]
Cu: 0.0000 0.0000 0.4906 [3 per cell]
Cu: 0.0000 0.0000 0.7475 [3 per cell]
Cl: 0.0000 0.0000 0.2637 [3 per cell]

6.
# FeCu2Cl

Crystalline FeCu2Cl at its relaxed geometry (GGA-PBE, Alexandria).

Values from the calculation:
Total magnetic moment, μB/cell: 6.51
Raw formation energy, eV per atom: 0.18
Excess energy over the best structure of this formula in the dataset, kcal/mol of atoms: 1.39

Unit cell a=7.9030 b=2.9580 c=6.1403 alpha=90.00 beta=95.30 gamma=90.00
Space group Cm (No. 8)
One atom of each set of equivalent atoms:
Fe: 0.0000 0.0000 0.0000 [2 per cell]
Cu: 0.0401 0.5000 0.6685 [2 per cell]
Cu: 0.2698 0.0000 0.8295 [2 per cell]
Cl: 0.0562 0.5000 0.2949 [2 per cell]

7.
# FeCu2Cl

Crystalline FeCu2Cl at its relaxed geometry (GGA-PBE, Alexandria).

Values from the calculation:
Total magnetic moment, μB/cell: 6.03
Raw formation energy, eV per atom: 0.56
Excess energy over the best structure of this formula in the dataset, kcal/mol of atoms: 10.08

Unit cell a=3.6963 b=3.6963 c=8.2653 alpha=90.00 beta=90.00 gamma=90.00
Space group I-4m2 (No. 119)
One atom of each set of equivalent atoms:
Fe: 0.0000 0.0000 0.0000 [2 per cell]
Cu: 0.0000 0.0000 0.5000 [2 per cell]
Cu: 0.0000 0.5000 0.2500 [2 per cell]
Cl: 0.0000 0.5000 0.7500 [2 per cell]

8.
# FeCu2Cl

Crystalline FeCu2Cl at its relaxed geometry (GGA-PBE, Alexandria).

Values from the calculation:
Total magnetic moment, μB/cell: 6.29
Raw formation energy, eV per atom: 0.52
Excess energy over the best structure of this formula in the dataset, kcal/mol of atoms: 9.21

Unit cell a=3.4669 b=3.4669 c=9.8277 alpha=90.00 beta=90.00 gamma=90.00
Space group I4/mmm (No. 139)
One atom of each set of equivalent atoms:
Fe: 0.0000 0.0000 0.0000 [2 per cell]
Cu: 0.0000 0.5000 0.2500 [4 per cell]
Cl: 0.0000 0.0000 0.5000 [2 per cell]

9.
# FeCuCl2

Crystalline FeCuCl2 at its relaxed geometry (GGA-PBE, Alexandria).

Values from the calculation:
Total magnetic moment, μB/cell: 3.29
Raw formation energy, eV per atom: -0.16
Excess energy over the best structure of this formula in the dataset, kcal/mol of atoms: 1.42

Unit cell a=5.0444 b=3.2768 c=5.3789 alpha=90.00 beta=97.46 gamma=90.00
Space group Pm (No. 6)
One atom of each set of equivalent atoms:
Fe: 0.0000 0.0000 0.0000 [1 per cell]
Cu: 0.7492 0.5000 0.2435 [1 per cell]
Cl: 0.4029 0.0000 0.2379 [1 per cell]
Cl: 0.9256 0.5000 0.6915 [1 per cell]

10.
# Fe3CuCl

Crystalline Fe3CuCl at its relaxed geometry (GGA-PBE, Alexandria).

Values from the calculation:
Total magnetic moment, μB/cell: 6.00
Raw formation energy, eV per atom: 0.79
Excess energy over the best structure of this formula in the dataset, kcal/mol of atoms: 0.00

Unit cell a=4.1038 b=4.1038 c=4.1038 alpha=90.00 beta=90.00 gamma=90.00
Space group Pm-3m (No. 221)
One atom of each set of equivalent atoms:
Fe: 0.0000 0.0000 0.5000 [3 per cell]
Cu: 0.5000 0.5000 0.5000 [1 per cell]
Cl: 0.0000 0.0000 0.0000 [1 per cell]

11.
# FeCu2Cl

Crystalline FeCu2Cl at its relaxed geometry (GGA-PBE, Alexandria).

Values from the calculation:
Total magnetic moment, μB/cell: 3.25
Raw formation energy, eV per atom: 0.46
Excess energy over the best structure of this formula in the dataset, kcal/mol of atoms: 7.88

Unit cell a=2.8851 b=4.1099 c=4.8277 alpha=90.00 beta=90.00 gamma=90.00
Space group Pmmm (No. 47)
One atom of each set of equivalent atoms:
Fe: 0.0000 0.0000 0.0000 [1 per cell]
Cu: 0.0000 0.5000 0.5000 [1 per cell]
Cu: 0.5000 0.0000 0.5000 [1 per cell]
Cl: 0.5000 0.5000 0.0000 [1 per cell]

12.
# FeCu2Cl5

Crystalline FeCu2Cl5 at its relaxed geometry (GGA-PBE, Alexandria).

Values from the calculation:
Total magnetic moment, μB/cell: 9.31
Raw formation energy, eV per atom: -0.55

Unit cell a=11.6881 b=6.6878 c=6.1740 alpha=90.00 beta=117.04 gamma=90.00
Space group Cm (No. 8)
One atom of each set of equivalent atoms:
Fe: 0.0000 0.0000 0.0000 [2 per cell]
Cu: 0.4118 0.0000 0.9884 [2 per cell]
Cu: 0.4895 0.5000 0.5548 [2 per cell]
Cl: 0.0117 0.2423 0.2928 [4 per cell]
Cl: 0.1817 0.0000 0.9514 [2 per cell]
Cl: 0.3780 0.2567 0.7025 [4 per cell]

13.
# FeCu2Cl

Crystalline FeCu2Cl at its relaxed geometry (GGA-PBE, Alexandria).

Values from the calculation:
Total magnetic moment, μB/cell: 3.18
Raw formation energy, eV per atom: 0.21
Excess energy over the best structure of this formula in the dataset, kcal/mol of atoms: 2.10

Unit cell a=2.9983 b=2.9983 c=6.7013 alpha=90.00 beta=90.00 gamma=90.00
Space group P4mm (No. 99)
One atom of each set of equivalent atoms:
Fe: 0.0000 0.0000 0.0000 [1 per cell]
Cu: 0.0000 0.0000 0.5939 [1 per cell]
Cu: 0.5000 0.5000 0.7758 [1 per cell]
Cl: 0.5000 0.5000 0.2189 [1 per cell]

14.
# FeCuCl2

Crystalline FeCuCl2 at its relaxed geometry (GGA-PBE, Alexandria).

Values from the calculation:
Total magnetic moment, μB/cell: 3.13
Raw formation energy, eV per atom: -0.08
Excess energy over the best structure of this formula in the dataset, kcal/mol of atoms: 3.29

Unit cell a=3.1990 b=3.1990 c=7.2250 alpha=90.00 beta=90.00 gamma=90.00
Space group P4mm (No. 99)
One atom of each set of equivalent atoms:
Fe: 0.0000 0.0000 0.0000 [1 per cell]
Cu: 0.5000 0.5000 0.8068 [1 per cell]
Cl: 0.0000 0.0000 0.6539 [1 per cell]
Cl: 0.5000 0.5000 0.1892 [1 per cell]

15.
# FeCuCl2

Crystalline FeCuCl2 at its relaxed geometry (GGA-PBE, Alexandria).

Values from the calculation:
Total magnetic moment, μB/cell: 3.08
Raw formation energy, eV per atom: 0.11
Excess energy over the best structure of this formula in the dataset, kcal/mol of atoms: 7.51

Unit cell a=3.4186 b=3.6528 c=6.0177 alpha=90.00 beta=98.07 gamma=90.00
Space group P2/m (No. 10)
One atom of each set of equivalent atoms:
Fe: 0.0000 0.0000 0.0000 [1 per cell]
Cu: 0.5000 0.0000 0.5000 [1 per cell]
Cl: 0.2221 0.5000 0.2513 [2 per cell]

16.
# FeCuCl2

Crystalline FeCuCl2 at its relaxed geometry (GGA-PBE, Alexandria).

Values from the calculation:
Total magnetic moment, μB/cell: 12.17
Raw formation energy, eV per atom: 0.21
Excess energy over the best structure of this formula in the dataset, kcal/mol of atoms: 9.82

Unit cell a=6.3305 b=6.3305 c=6.3305 alpha=90.00 beta=90.00 gamma=90.00
Space group Fm-3m (No. 225)
One atom of each set of equivalent atoms:
Fe: 0.0000 0.0000 0.0000 [4 per cell]
Cu: 0.0000 0.0000 0.5000 [4 per cell]
Cl: 0.2500 0.2500 0.2500 [8 per cell]

17.
# FeCuCl2

Crystalline FeCuCl2 at its relaxed geometry (GGA-PBE, Alexandria).

Values from the calculation:
Total magnetic moment, μB/cell: 6.00
Raw formation energy, eV per atom: -0.15
Excess energy over the best structure of this formula in the dataset, kcal/mol of atoms: 1.50

Unit cell a=11.6498 b=3.3328 c=4.2920 alpha=90.00 beta=98.17 gamma=90.00
Space group C2/m (No. 12)
One atom of each set of equivalent atoms:
Fe: 0.0000 0.0000 0.0000 [2 per cell]
Cu: 0.0000 0.5000 0.5000 [2 per cell]
Cl: 0.1407 0.5000 0.2001 [4 per cell]

18.
# FeCuCl

Crystalline FeCuCl at its relaxed geometry (GGA-PBE, Alexandria).

Values from the calculation:
Total magnetic moment, μB/cell: 2.63
Raw formation energy, eV per atom: 0.51
Excess energy over the best structure of this formula in the dataset, kcal/mol of atoms: 7.95

Unit cell a=4.0984 b=4.0984 c=2.9812 alpha=90.00 beta=90.00 gamma=120.00
Space group P-6m2 (No. 187)
One atom of each set of equivalent atoms:
Fe: 0.0000 0.0000 0.0000 [1 per cell]
Cu: 0.6667 0.3333 0.5000 [1 per cell]
Cl: 0.3333 0.6667 0.0000 [1 per cell]

19.
# FeCu2Cl

Crystalline FeCu2Cl at its relaxed geometry (GGA-PBE, Alexandria).

Values from the calculation:
Total magnetic moment, μB/cell: 2.94
Raw formation energy, eV per atom: 0.23
Excess energy over the best structure of this formula in the dataset, kcal/mol of atoms: 2.60

Unit cell a=2.9760 b=2.9940 c=6.7555 alpha=90.00 beta=90.00 gamma=90.00
Space group Pmmm (No. 47)
One atom of each set of equivalent atoms:
Fe: 0.0000 0.0000 0.0000 [1 per cell]
Cu: 0.5000 0.5000 0.2148 [2 per cell]
Cl: 0.5000 0.0000 0.5000 [1 per cell]

20.
# FeCu2Cl

Crystalline FeCu2Cl at its relaxed geometry (GGA-PBE, Alexandria).

Values from the calculation:
Total magnetic moment, μB/cell: 5.82
Raw formation energy, eV per atom: 0.49
Excess energy over the best structure of this formula in the dataset, kcal/mol of atoms: 8.49

Unit cell a=4.8555 b=8.2716 c=2.8271 alpha=90.00 beta=90.00 gamma=90.00
Space group Cmmm (No. 65)
One atom of each set of equivalent atoms:
Fe: 0.0000 0.0000 0.0000 [2 per cell]
Cu: 0.2500 0.2500 0.5000 [4 per cell]
Cl: 0.0000 0.5000 0.0000 [2 per cell]